Density functional theory data (PBE) for a relaxed structure of RbAu2S2.

Computed properties:
* spin magnetization: 0.00 Bohr magnetons per cell
* ΔE to the lowest computed polymorph: 0.000 eV/atom

Unit cell a=6.799 b=6.799 c=6.799 alpha=136.56 beta=136.56 gamma=63.11
Element x y z (fractional)
Rb 0.000 0.000 0.000
Au 0.284 0.284 0.000
Au 0.716 0.716 0.000
S 0.250 0.750 0.500
S 0.750 0.250 0.500

Density functional theory data (PBE) for a relaxed structure of Pr2YPuS4.

Computed properties:
* spin magnetization: 5.66 Bohr magnetons per cell
* uncorrected energy: -7.8263 eV per atom

Unit cell a=6.953 b=3.996 c=7.006 alpha=90.00 beta=109.09 gamma=90.00
Element x y z (fractional)
Pr 0.000 0.000 0.000
Pr 0.500 0.500 0.000
Y 0.000 0.500 0.500
Pu 0.500 0.000 0.500
S 0.243 0.000 0.735
S 0.254 0.500 0.265
S 0.746 0.500 0.735
S 0.757 0.000 0.265